Compound: ZnCuHg2
Source: Alexandria via LeMat-Bulk
Functional: PBE
Structure: optimized geometry

Summary:
- DFT total energy: -5.35 eV for the cell shown
- Crystal system: orthorhombic
- DOS at the Fermi energy: 1.05 states/eV/f.u.
- Formation energy: 0.155 eV per atom

Lattice parameters (Å, degrees): 3.1955 3.5626 6.5235 90.00 90.00 90.00
With the nearest neighbours (Å) after each atom.
Space group Pmm2 (No. 25)
Inequivalent atoms, fractional coordinates:
1 Zn 0.0000 0.0000 0.0000 x1  4 Cu 2.64, 5 Hg 2.77-2.93
2 Cu 0.5000 0.5000 0.8302 x1  4 Zn 2.64, 5 Hg 2.80-2.91
3 Hg 0.0000 0.0000 0.5761 x1  1 Zn 2.77, 4 Cu 2.91
4 Hg 0.5000 0.5000 0.2601 x1  1 Cu 2.80, 4 Zn 2.93